Entry from the Alexandria database: a relaxed SIO3 crystal (GGA-PBE).

The structure in CIF format:
```
data_SIO3
_cell_length_a 5.841
_cell_length_b 7.408
_cell_length_c 5.627
_cell_angle_alpha 90.00
_cell_angle_beta 90.00
_cell_angle_gamma 92.61
_space_group_name_H-M_alt 'P 1'
_space_group_IT_number 1
loop_
_space_group_symop_operation_xyz
'x,y,z'
loop_
_atom_site_label
_atom_site_fract_x
_atom_site_fract_y
_atom_site_fract_z
S1 0.155 0.839 0.250
S2 0.845 0.161 0.750
O1 0.642 0.045 0.750
O2 0.358 0.955 0.250
O3 0.956 0.211 0.971
O4 0.956 0.211 0.529
O5 0.044 0.789 0.471
O6 0.044 0.789 0.029
I1 0.435 0.475 0.250
I2 0.565 0.525 0.750
```

Summary:
As for the symmetry: P2_1/m. As for the uncorrected formation energy: -0.8170 eV per atom. For the total energy, the calculation gives -4.93 eV/atom.